(1)
AgRh2: optimized geometry, PBE.

```
data_AgRh2
_chemical_formula_sum 'Ag4 Rh8'
_cell_length_a 5.1753
_cell_length_b 5.1753
_cell_length_c 8.3509
_cell_angle_alpha 90.00
_cell_angle_beta 90.00
_cell_angle_gamma 120.00
_symmetry_space_group_name_H-M 'P 1'
_symmetry_Int_Tables_number 1
loop_
_symmetry_equiv_pos_as_xyz
'x,y,z'
loop_
_atom_site_label
_atom_site_fract_x
_atom_site_fract_y
_atom_site_fract_z
Rh1 0.8290 0.1710 0.2500
Ag1 0.6667 0.3333 0.9312
Rh2 0.8290 0.6580 0.2500
Ag2 0.3333 0.6667 0.0688
Rh3 0.0000 0.0000 0.0000
Rh4 0.1710 0.8290 0.7500
Rh5 0.0000 0.0000 0.5000
Ag3 0.6667 0.3333 0.5688
Rh6 0.6580 0.8290 0.7500
Rh7 0.3420 0.1710 0.2500
Rh8 0.1710 0.3420 0.7500
Ag4 0.3333 0.6667 0.4312
```

N(E_F) in states/eV/f.u.: 5.36
SG: P6_3/mmc, No. 194
Polymorph energy (0 for the lowest one) in kJ/mol of atoms: 12.2

***

(2)
KLiMn2: optimized geometry, PBE.

```
data_KLiMn2
_chemical_formula_sum 'K1 Li1 Mn2'
_cell_length_a 2.9439
_cell_length_b 2.9439
_cell_length_c 10.6447
_cell_angle_alpha 90.00
_cell_angle_beta 90.00
_cell_angle_gamma 113.47
_symmetry_space_group_name_H-M 'P 1'
_symmetry_Int_Tables_number 1
loop_
_symmetry_equiv_pos_as_xyz
'x,y,z'
loop_
_atom_site_label
_atom_site_fract_x
_atom_site_fract_y
_atom_site_fract_z
Mn1 0.0000 0.0000 0.5367
K1 0.5000 0.5000 0.2500
Mn2 0.0000 0.0000 0.9633
Li1 0.5000 0.5000 0.7500
```

N(E_F) in states/eV/f.u.: 3.53
SG: Cmmm, No. 65
Polymorph energy (0 for the lowest one) in kJ/mol of atoms: 21.2

***

(3)
CoCu2Te: optimized geometry, PBE.

```
data_CoCu2Te
_chemical_formula_sum 'Co1 Cu2 Te1'
_cell_length_a 3.7540
_cell_length_b 3.7531
_cell_length_c 4.0890
_cell_angle_alpha 90.00
_cell_angle_beta 90.00
_cell_angle_gamma 90.00
_symmetry_space_group_name_H-M 'P 1'
_symmetry_Int_Tables_number 1
loop_
_symmetry_equiv_pos_as_xyz
'x,y,z'
loop_
_atom_site_label
_atom_site_fract_x
_atom_site_fract_y
_atom_site_fract_z
Te1 0.5000 0.0000 0.5000
Co1 0.0000 0.5000 0.5000
Cu1 0.5000 0.5000 0.0000
Cu2 0.0000 0.0000 0.0000
```

N(E_F) in states/eV/f.u.: 3.45
ΔE_f (raw) in eV/atom: 0.245
SG: P4/mmm, No. 123

***

(4)
RbScAs3: optimized geometry, PBE.

```
data_RbScAs3
_chemical_formula_sum 'Rb1 Sc1 As3'
_cell_length_a 5.3699
_cell_length_b 5.3699
_cell_length_c 5.3699
_cell_angle_alpha 90.00
_cell_angle_beta 90.00
_cell_angle_gamma 90.00
_symmetry_space_group_name_H-M 'P 1'
_symmetry_Int_Tables_number 1
loop_
_symmetry_equiv_pos_as_xyz
'x,y,z'
loop_
_atom_site_label
_atom_site_fract_x
_atom_site_fract_y
_atom_site_fract_z
As1 0.5000 0.0000 0.0000
As2 0.0000 0.0000 0.5000
Rb1 0.0000 0.0000 0.0000
Sc1 0.5000 0.5000 0.5000
As3 0.0000 0.5000 0.0000
```

N(E_F) in states/eV/f.u.: 4.98
SG: Pm-3m, No. 221
Polymorph energy (0 for the lowest one) in kJ/mol of atoms: 153.5

***

(5)
KMgOs: optimized geometry, PBE.

```
data_KMgOs
_chemical_formula_sum 'K1 Mg1 Os1'
_cell_length_a 2.9142
_cell_length_b 2.9142
_cell_length_c 8.3456
_cell_angle_alpha 90.00
_cell_angle_beta 90.00
_cell_angle_gamma 120.00
_symmetry_space_group_name_H-M 'P 1'
_symmetry_Int_Tables_number 1
loop_
_symmetry_equiv_pos_as_xyz
'x,y,z'
loop_
_atom_site_label
_atom_site_fract_x
_atom_site_fract_y
_atom_site_fract_z
Mg1 0.6667 0.3333 0.3807
Os1 0.3333 0.6667 0.6428
K1 0.0000 0.0000 0.9764
```

N(E_F) in states/eV/f.u.: 2.38
SG: P3m1, No. 156
Polymorph energy (0 for the lowest one) in kJ/mol of atoms: 7.9

***

(6)
NaSrZn2Sn2: optimized geometry, PBE.

```
data_NaSrZn2Sn2
_chemical_formula_sum 'Na1 Sr1 Zn2 Sn2'
_cell_length_a 4.7324
_cell_length_b 4.7324
_cell_length_c 7.7866
_cell_angle_alpha 90.00
_cell_angle_beta 90.00
_cell_angle_gamma 120.00
_symmetry_space_group_name_H-M 'P 1'
_symmetry_Int_Tables_number 1
loop_
_symmetry_equiv_pos_as_xyz
'x,y,z'
loop_
_atom_site_label
_atom_site_fract_x
_atom_site_fract_y
_atom_site_fract_z
Zn1 0.6667 0.3333 0.2955
Sn1 0.3333 0.6667 0.2687
Sr1 0.0000 0.0000 0.0000
Zn2 0.3333 0.6667 0.7045
Sn2 0.6667 0.3333 0.7313
Na1 0.0000 0.0000 0.5000
```

N(E_F) in states/eV/f.u.: 2.43
Total energy in eV per cell: -15.4
SG: P-3m1, No. 164